1.
Zn2HgSbPt PBE-GGA optimized geometry; VASP energy = -0.0889 Ha/atom; magnetization = 0.0 μB per formula unit; symmetry = P4/mmm (123); uncorrected formation energy = 0.183 eV/atom
1.0
-3.406 -2.395 -2.452
1.463 -4.459 2.321
-3.150 0.825 3.570
Sb Zn Hg Pt
1 2 1 1
Direct
0.500 0.500 0.500
0.000 0.000 0.500
0.500 0.000 0.000
0.000 0.500 0.000
0.000 0.000 0.000

***

2.
ScHg2Pt2 PBE-GGA optimized geometry; VASP energy = -0.1432 Ha/atom; magnetization = 0.0 μB per formula unit; symmetry = I4/mmm (139)
1.0
-1.004 1.964 -3.257
3.012 -1.645 -1.921
-2.912 -4.874 -4.417
Sc Hg Pt
1 2 2
Direct
0.000 0.000 0.000
0.396 0.396 0.207
0.604 0.604 0.793
0.750 0.250 0.500
0.250 0.750 0.500

***

3.
ScHgPt2 PBE-GGA optimized geometry; VASP energy = -0.1813 Ha/atom; magnetization = 0.0 μB per formula unit; symmetry = R3m (160)
1.0
8.822 -0.028 -0.017
8.251 3.124 -0.017
8.251 1.496 2.742
Hg Pt Sc
1 2 1
Direct
0.749 0.749 0.749
0.997 0.997 0.997
0.246 0.246 0.246
0.509 0.509 0.509

***

4.
Sc5Hg4Pt PBE-GGA optimized geometry; VASP energy = -0.1645 Ha/atom; magnetization = 0.0 μB per formula unit; symmetry = P4/mmm (123)
1.0
3.460 0.000 0.000
0.000 3.460 0.000
0.000 0.000 17.562
Sc Hg Pt
5 4 1
Direct
0.500 0.500 0.087
0.500 0.500 0.294
0.500 0.500 0.500
0.500 0.500 0.706
0.500 0.500 0.913
0.000 0.000 0.193
0.000 0.000 0.398
0.000 0.000 0.602
0.000 0.000 0.807
0.000 0.000 0.000

***

5.
ScHgPt PBE-GGA optimized geometry; VASP energy = -0.1766 Ha/atom; magnetization = 0.0 μB per formula unit; symmetry = P-6m2 (187)
1.0
-1.319 4.419 -0.933
0.426 -3.116 -3.499
-2.880 -0.786 0.349
Hg Pt Sc
1 1 1
Direct
0.000 0.000 0.166
0.333 0.667 0.167
0.667 0.333 0.666

***

6.
ScHg2Pt PBE-GGA optimized geometry; VASP energy = -0.1225 Ha/atom; magnetization = 0.0 μB per formula unit; symmetry = R-3m (166)
1.0
9.011 -0.057 -0.034
8.425 3.199 -0.034
8.425 1.518 2.816
Hg Pt Sc
2 1 1
Direct
0.997 0.997 0.997
0.503 0.503 0.503
0.250 0.250 0.250
0.750 0.750 0.750

***

7.
ScHg2Pt PBE-GGA optimized geometry; VASP energy = -0.1346 Ha/atom; magnetization = 0.0 μB per formula unit; symmetry = I4/mmm (139)
1.0
-0.894 -3.050 -4.029
3.612 -3.643 0.104
-3.182 1.588 3.699
Hg Pt Sc
2 1 1
Direct
0.000 0.000 0.000
0.500 0.500 0.000
0.750 0.250 0.500
0.250 0.750 0.500

***

8.
Sc4Hg3Pt PBE-GGA optimized geometry; VASP energy = -0.1712 Ha/atom; magnetization = 0.0 μB per formula unit; symmetry = P4/mmm (123)
1.0
3.440 0.000 0.000
0.000 3.440 0.000
0.000 0.000 14.096
Sc Hg Pt
4 3 1
Direct
0.000 0.000 0.891
0.000 0.000 0.109
0.000 0.000 0.370
0.000 0.000 0.630
0.500 0.500 0.244
0.500 0.500 0.500
0.500 0.500 0.756
0.500 0.500 0.000

***

9.
ScHg2Pt PBE-GGA optimized geometry; VASP energy = -0.1300 Ha/atom; magnetization = 0.0 μB per formula unit; symmetry = Pmmm (47)
1.0
3.647 0.000 0.000
0.000 3.603 0.000
0.000 0.000 6.026
Hg Pt Sc
2 1 1
Direct
0.000 0.000 0.010
0.000 0.000 0.490
0.500 0.500 0.250
0.500 0.500 0.750

***

10.
ScHg2Pt PBE-GGA optimized geometry; VASP energy = -0.1250 Ha/atom; magnetization = 0.2 μB per formula unit; symmetry = Cmmm (65)
1.0
5.368 -0.108 0.000
-2.212 4.893 0.000
0.000 0.000 3.093
Hg Pt Sc
2 1 1
Direct
0.000 0.000 0.000
0.500 0.500 0.000
0.500 0.000 0.500
0.000 0.500 0.500

***

11.
ScHg2Pt PBE-GGA optimized geometry; VASP energy = -0.1337 Ha/atom; magnetization = 0.0 μB per formula unit; symmetry = Fm-3m (225)
1.0
-4.261 -0.833 1.999
-2.150 3.419 2.556
-3.905 2.163 -1.709
Sc Hg Pt
1 2 1
Direct
0.000 0.000 0.000
0.250 0.250 0.250
0.750 0.750 0.750
0.500 0.500 0.500

***

12.
ScHgPt2 PBE-GGA optimized geometry; VASP energy = -0.1998 Ha/atom; magnetization = 0.0 μB per formula unit; symmetry = P4/mmm (123)
1.0
3.493 0.000 0.000
0.000 3.491 0.000
0.000 0.000 5.907
Hg Pt Sc
1 2 1
Direct
0.500 0.500 0.750
0.000 0.000 0.008
0.000 0.000 0.492
0.500 0.500 0.250

***

13.
ScHg2Pt PBE-GGA optimized geometry; VASP energy = -0.1242 Ha/atom; magnetization = 0.0 μB per formula unit; symmetry = I-42d (122)
1.0
-7.079 -3.057 1.937
0.294 -4.727 -6.386
-2.124 -5.867 -0.704
Sc Hg Pt
2 4 2
Direct
0.500 0.500 0.000
0.250 0.750 0.500
0.645 0.125 0.250
0.105 0.625 0.250
0.375 0.355 0.750
0.875 0.895 0.750
0.000 0.000 0.000
0.750 0.250 0.500

***

14.
ScHgPt2 PBE-GGA optimized geometry; VASP energy = -0.1985 Ha/atom; magnetization = 0.0 μB per formula unit; symmetry = I-4m2 (119)
1.0
-0.882 4.947 1.421
-3.214 2.344 3.383
1.820 0.957 3.434
Hg Pt Sc
1 2 1
Direct
0.250 0.250 0.250
0.000 0.000 0.000
0.750 0.750 0.750
0.500 0.500 0.500